This record from Alexandria via LeMat-Bulk describes a geometry-optimized BeAs2CBr structure. The functional is PBE-GGA.

Output
- energy above the lowest structure with this stoichiometry (kcal/mol of atoms) = 0.00
- magnetization (μB/atom) = 0.000
- SG = P4/mmm, No. 123

a b c (Å): 4.3301 4.3301 4.6407
angles (deg): 90.00 90.00 90.00
Sites, in units of the cell vectors:
Be  0.0000  0.0000  0.0000
As  0.0000  0.5000  0.5000
As  0.5000  0.0000  0.5000
C  0.5000  0.5000  0.5000
Br  0.5000  0.5000  0.0000

---

This record from Alexandria via LeMat-Bulk describes a geometry-optimized CaBeAs2Br structure. The functional is PBE-GGA.

Output
- energy above the lowest structure with this stoichiometry (kcal/mol of atoms) = 27.23
- magnetization (μB/atom) = 0.311
- SG = P4/mmm, No. 123

a b c (Å): 5.6129 5.6129 5.4129
angles (deg): 90.00 90.00 90.00
Sites, in units of the cell vectors:
Ca  0.0000  0.0000  0.0000
Be  0.5000  0.5000  0.5000
As  0.0000  0.5000  0.0000
As  0.5000  0.0000  0.0000
Br  0.0000  0.0000  0.5000

---

This record from Alexandria via LeMat-Bulk describes a geometry-optimized CaBeAs2Br structure. The functional is PBE-GGA.

Output
- energy above the lowest structure with this stoichiometry (kcal/mol of atoms) = 0.00
- magnetization (μB/atom) = 0.000
- SG = P4/mmm, No. 123

a b c (Å): 4.3522 4.3522 6.1641
angles (deg): 90.00 90.00 90.00
Sites, in units of the cell vectors:
Ca  0.0000  0.0000  0.0000
Be  0.5000  0.5000  0.5000
As  0.0000  0.5000  0.5000
As  0.5000  0.0000  0.5000
Br  0.5000  0.5000  0.0000

---

This record from Alexandria via LeMat-Bulk describes a geometry-optimized BeCdAsBr2 structure. The functional is PBE-GGA.

Output
- energy above the lowest structure with this stoichiometry (kcal/mol of atoms) = 14.30
- magnetization (μB/atom) = 0.258
- SG = P4/mmm, No. 123

a b c (Å): 5.4635 5.4635 5.4192
angles (deg): 90.00 90.00 90.00
Sites, in units of the cell vectors:
Be  0.0000  0.0000  0.0000
Cd  0.5000  0.5000  0.5000
As  0.5000  0.5000  0.0000
Br  0.0000  0.5000  0.5000
Br  0.5000  0.0000  0.5000

---

This record from Alexandria via LeMat-Bulk describes a geometry-optimized BeCdAsBr2 structure. The functional is PBE-GGA.

Output
- energy above the lowest structure with this stoichiometry (kcal/mol of atoms) = 0.00
- magnetization (μB/atom) = 0.000
- SG = P4/mmm, No. 123

a b c (Å): 4.7651 4.7651 4.9867
angles (deg): 90.00 90.00 90.00
Sites, in units of the cell vectors:
Be  0.0000  0.0000  0.0000
Cd  0.5000  0.5000  0.5000
As  0.0000  0.0000  0.5000
Br  0.0000  0.5000  0.0000
Br  0.5000  0.0000  0.0000

---

This record from Alexandria via LeMat-Bulk describes a geometry-optimized BeCdAsBr2 structure. The functional is PBE-GGA.

Output
- energy above the lowest structure with this stoichiometry (kcal/mol of atoms) = 2.34
- magnetization (μB/atom) = 0.000
- SG = P4/mmm, No. 123

a b c (Å): 5.7387 5.7387 4.1574
angles (deg): 90.00 90.00 90.00
Sites, in units of the cell vectors:
Be  0.0000  0.0000  0.0000
Cd  0.5000  0.5000  0.0000
As  0.0000  0.0000  0.5000
Br  0.0000  0.5000  0.5000
Br  0.5000  0.0000  0.5000

---

This record from Alexandria via LeMat-Bulk describes a geometry-optimized BeAs2BrCl structure. The functional is PBE-GGA.

Output
- energy above the lowest structure with this stoichiometry (kcal/mol of atoms) = 0.00
- magnetization (μB/atom) = 0.000
- SG = P4/mmm, No. 123

a b c (Å): 4.6614 4.6614 4.6980
angles (deg): 90.00 90.00 90.00
Sites, in units of the cell vectors:
Be  0.0000  0.0000  0.0000
As  0.0000  0.5000  0.0000
As  0.5000  0.0000  0.0000
Br  0.0000  0.0000  0.5000
Cl  0.5000  0.5000  0.5000

---

This record from Alexandria via LeMat-Bulk describes a geometry-optimized BeAs2BrCl structure. The functional is PBE-GGA.

Output
- energy above the lowest structure with this stoichiometry (kcal/mol of atoms) = 20.87
- magnetization (μB/atom) = 0.095
- SG = P4/mmm, No. 123

a b c (Å): 4.6849 4.6849 6.6661
angles (deg): 90.00 90.00 90.00
Sites, in units of the cell vectors:
Be  0.0000  0.0000  0.0000
As  0.0000  0.5000  0.5000
As  0.5000  0.0000  0.5000
Br  0.5000  0.5000  0.0000
Cl  0.5000  0.5000  0.5000

---

This record from Alexandria via LeMat-Bulk describes a geometry-optimized BeAsPdBrCl structure. The functional is PBE-GGA.

Output
- energy above the lowest structure with this stoichiometry (kcal/mol of atoms) = 1.34
- magnetization (μB/atom) = 0.000
- SG = P1, No. 1

a b c (Å): 3.2876 6.7563 7.6669
angles (deg): 114.69 90.62 103.58
Sites, in units of the cell vectors:
Be  0.0000  0.0000  0.0000
As  0.9718  0.9594  0.5945
Pd  0.3932  0.7903  0.7170
Br  0.6055  0.2094  0.1734
Cl  0.8411  0.6719  0.9275

---

This record from Alexandria via LeMat-Bulk describes a geometry-optimized BeAsPdBrCl structure. The functional is PBE-GGA.

Output
- energy above the lowest structure with this stoichiometry (kcal/mol of atoms) = 1.43
- magnetization (μB/atom) = 0.000
- SG = Pm, No. 6

a b c (Å): 5.8367 3.2886 6.9601
angles (deg): 90.00 107.79 90.00
Sites, in units of the cell vectors:
Be  0.0000  0.0000  0.0000
As  0.5258  0.0000  0.7391
Pd  0.6735  0.5000  0.9979
Br  0.0414  0.0000  0.7029
Cl  0.1694  0.5000  0.1751

---

This record from Alexandria via LeMat-Bulk describes a geometry-optimized BeAsPdBrCl structure. The functional is PBE-GGA.

Output
- energy above the lowest structure with this stoichiometry (kcal/mol of atoms) = 2.03
- magnetization (μB/atom) = 0.000
- SG = P1, No. 1

a b c (Å): 3.7163 5.7409 7.2488
angles (deg): 110.26 104.68 90.01
Sites, in units of the cell vectors:
Be  0.0000  0.0000  0.0000
As  0.8313  0.7657  0.6585
Pd  0.3976  0.0549  0.7926
Br  0.9141  0.4228  0.8261
Cl  0.1385  0.1126  0.2796

---

This record from Alexandria via LeMat-Bulk describes a geometry-optimized BeAsPdBrCl structure. The functional is PBE-GGA.

Output
- energy above the lowest structure with this stoichiometry (kcal/mol of atoms) = 1.15
- magnetization (μB/atom) = 0.000
- SG = Cm, No. 8

a b c (Å): 12.4853 3.5313 6.6842
angles (deg): 90.00 121.42 90.00
Sites, in units of the cell vectors:
Be  0.0000  0.0000  0.0000
Be  0.5000  0.5000  0.0000
As  0.2083  0.5000  0.3899
As  0.7083  0.0000  0.3899
Pd  0.2076  0.0000  0.1520
Pd  0.7076  0.5000  0.1520
Br  0.4181  0.0000  0.0937
Br  0.9181  0.5000  0.0937
Cl  0.4560  0.5000  0.6727
Cl  0.9560  0.0000  0.6727

---

Which of these has the highest magnetization?
number 2